# VCrRh3

Crystalline VCrRh3 at its relaxed geometry (PBE, the Alexandria database).

Lattice parameters (Å, degrees): 7.2859 7.2859 4.5455 94.99 94.99 143.75
Positions (direct):
1 V 0.1475 0.8525 0.7500
2 V 0.8525 0.1475 0.2500
3 Cr 0.3545 0.6455 0.7500
4 Cr 0.6455 0.3545 0.2500
5 Rh 0.0566 0.9434 0.2500
6 Rh 0.2506 0.7494 0.2500
7 Rh 0.4442 0.5558 0.2500
8 Rh 0.5558 0.4442 0.7500
9 Rh 0.7494 0.2506 0.7500
10 Rh 0.9434 0.0566 0.7500

Properties
Total energy: -83.71 eV/cell
Energy relative to the elements: -4.9 kcal/mol of atoms
E above lowest polymorph: 0.000 eV/atom
SG: C2/c
DOS at the Fermi energy: 10.70 states/eV per cell
V: 137.0 Å³/cell

# VCrRh6

Crystalline VCrRh6 at its relaxed geometry (PBE, the Alexandria database).

Lattice parameters (Å, degrees): 5.3799 5.3799 3.8109 90.00 90.00 90.00
Positions (direct):
1 V 0.0000 0.0000 0.0000
2 Cr 0.5000 0.5000 0.0000
3 Rh 0.0000 0.5000 0.0000
4 Rh 0.2497 0.2497 0.5000
5 Rh 0.2497 0.7503 0.5000
6 Rh 0.5000 0.0000 0.0000
7 Rh 0.7503 0.2497 0.5000
8 Rh 0.7503 0.7503 0.5000

Properties
Total energy: -64.79 eV/cell
Energy relative to the elements: -5.6 kcal/mol of atoms
E above lowest polymorph: 0.000 eV/atom
SG: P4/mmm
DOS at the Fermi energy: 8.10 states/eV per cell
V: 110.3 Å³/cell

# VCrRh3

Crystalline VCrRh3 at its relaxed geometry (PBE, the Alexandria database).

Lattice parameters (Å, degrees): 6.7965 6.7965 6.5993 106.75 106.75 89.11
Positions (direct):
1 V 0.0228 0.9772 0.7500
2 V 0.3356 0.6644 0.2500
3 V 0.6644 0.3356 0.7500
4 V 0.9772 0.0228 0.2500
5 Cr 0.2226 0.5957 0.8082
6 Cr 0.4043 0.7774 0.6918
7 Cr 0.5957 0.2226 0.3082
8 Cr 0.7774 0.4043 0.1918
9 Rh 0.0204 0.7086 0.4138
10 Rh 0.0523 0.3169 0.0334
11 Rh 0.2914 0.9796 0.0862
12 Rh 0.3052 0.4110 0.4524
13 Rh 0.3169 0.0523 0.5334
14 Rh 0.4110 0.3052 0.9524
15 Rh 0.5890 0.6948 0.0476
16 Rh 0.6831 0.9477 0.4666
17 Rh 0.6948 0.5890 0.5476
18 Rh 0.7086 0.0204 0.9138
19 Rh 0.9477 0.6831 0.9666
20 Rh 0.9796 0.2914 0.5862

Properties
Total energy: -165.13 eV/cell
Energy relative to the elements: -2.2 kcal/mol of atoms
E above lowest polymorph: 0.115 eV/atom
SG: C2/c
DOS at the Fermi energy: 22.38 states/eV per cell
V: 278.7 Å³/cell